Record 1
Below is Sb2Ru at its PBEsol-relaxed geometry, with properties calculated at the meta-GGA SCAN level.

Results
Magnetization, μB/f.u.: 0.0
Formation energy from raw total energies, eV/atom: -0.1194
Energy, eV/atom: -36.569

Lattice parameters (Å, degrees): 3.3333 6.4765 6.9748 117.88 103.82 90.00
Fractional coordinates of all 6 atoms:
Ru 0.7429 0.7978 0.4859
Ru 0.2571 0.2022 0.5141
Sb 0.3607 0.6747 0.7213
Sb 0.0867 0.7743 0.1734
Sb 0.9133 0.2257 0.8266
Sb 0.6393 0.3253 0.2787

Record 2
Below is SbRu at its PBEsol-relaxed geometry, with properties calculated at the meta-GGA SCAN level.

Results
Magnetization, μB/f.u.: 0.0
Formation energy from raw total energies, eV/atom: 0.1979
Energy, eV/atom: -35.846

Lattice parameters (Å, degrees): 3.0671 5.8231 6.3502 89.52 103.97 90.00
Fractional coordinates of all 6 atoms:
Ru 0.3323 0.2123 0.6647
Ru 0.7207 0.5073 0.4414
Ru 0.3821 0.6720 0.7642
Sb 0.7104 0.9605 0.4208
Sb 0.9801 0.9976 0.9602
Sb 0.0410 0.4836 0.0821

Record 3
Below is Sb3Ru at its PBEsol-relaxed geometry, with properties calculated at the meta-GGA SCAN level.

Results
Magnetization, μB/f.u.: 0.0
Formation energy from raw total energies, eV/atom: 0.5836
Energy, eV/atom: -36.068

Lattice parameters (Å, degrees): 3.4729 5.0176 5.0176 103.02 90.00 90.00
Fractional coordinates of all 4 atoms:
Sb 0.5000 0.5000 0.0000
Sb 0.5000 0.0000 0.5000
Sb 0.0000 0.5000 0.5000
Ru 0.0000 0.0000 0.0000

What is the formula in the second record? SbRu

Which formula does entry 2 have? SbRu

The lowest formation energy from raw total energies belongs to which entry? Sb2Ru

Copy entry 3 word for word.
Below is Sb3Ru at its PBEsol-relaxed geometry, with properties calculated at the meta-GGA SCAN level.

Results
Magnetization, μB/f.u.: 0.0
Formation energy from raw total energies, eV/atom: 0.5836
Energy, eV/atom: -36.068

Lattice parameters (Å, degrees): 3.4729 5.0176 5.0176 103.02 90.00 90.00
Fractional coordinates of all 4 atoms:
Sb 0.5000 0.5000 0.0000
Sb 0.5000 0.0000 0.5000
Sb 0.0000 0.5000 0.5000
Ru 0.0000 0.0000 0.0000